# DyThAs2 | the Alexandria database | GGA-PBE | optimized geometry
data_DyThAs2
_chemical_formula_sum 'Dy1 Th1 As2'
_cell_length_a 4.200
_cell_length_b 4.200
_cell_length_c 7.215
_cell_angle_alpha 73.12
_cell_angle_beta 73.12
_cell_angle_gamma 59.98
_symmetry_space_group_name_H-M 'P 1'
_symmetry_Int_Tables_number 1
loop_
_symmetry_equiv_pos_as_xyz
'x,y,z'
loop_
_atom_site_label
_atom_site_type_symbol
_atom_site_fract_x
_atom_site_fract_y
_atom_site_fract_z
As1 As 0.747 0.747 0.758
As2 As 0.253 0.253 0.242
Th1 Th 0.500 0.500 0.500
Dy1 Dy 0.000 0.000 0.000
# electronic total energy: -6.7993 eV/atom
# total moment: 0.00 μB/f.u.
# calculated formation energy: -5.88 eV per formula unit